1.
Compound: K2YTiS4
Source: the Alexandria database
Functional: PBE
Structure: relaxed

a = 7.211 Å, b = 7.211 Å, c = 9.371 Å
α = 90.00°, β = 90.00°, γ = 90.00°
Space group I-4 (No. 82)
Asymmetric unit:
K (0.000, 0.000, 0.000) x2
K (0.000, 0.500, 0.250) x2
Y (0.000, 0.500, 0.750) x2
Ti (0.000, 0.000, 0.500) x2
S (0.173, 0.764, 0.613) x8

Results
uncorrected formation energy: -1414 meV/atom

=====

2.
Compound: BeTe2
Source: the Alexandria database
Functional: PBE
Structure: relaxed

a = 3.604 Å, b = 22.647 Å, c = 3.627 Å
α = 90.00°, β = 90.00°, γ = 90.00°
Space group Cmcm (No. 63)
Asymmetric unit:
Be (0.000, 0.112, 0.250) x4
Te (0.000, 0.313, 0.750) x4
Te (0.000, 0.436, 0.250) x4

Results
polymorph energy (0 for the lowest one): 417.5 meV/atom
uncorrected formation energy: 273 meV/atom

=====

3.
Compound: SrTm2SbN4
Source: the Alexandria database
Functional: PBE
Structure: relaxed

a = 3.639 Å, b = 11.922 Å, c = 11.893 Å
α = 90.00°, β = 90.00°, γ = 90.00°
Space group Cmcm (No. 63)
Asymmetric unit:
Sr (0.000, 0.105, 0.250) x4
Tm (0.000, 0.372, 0.034) x8
Sb (0.000, 0.157, 0.750) x4
N (0.000, 0.000, 0.000) x4
N (0.000, 0.261, 0.616) x8
N (0.000, 0.428, 0.250) x4

Results
uncorrected formation energy: -798 meV/atom

=====

4.
Compound: Ca2TaIr
Source: the Alexandria database
Functional: PBE
Structure: relaxed

a = 3.587 Å, b = 5.296 Å, c = 10.403 Å
α = 90.00°, β = 90.00°, γ = 90.00°
Space group Imm2 (No. 44)
Asymmetric unit:
Ca (0.000, 0.000, 0.000) x2
Ca (0.000, 0.500, 0.209) x2
Ta (0.000, 0.000, 0.405) x2
Ir (0.000, 0.500, 0.744) x2

Results
formation energy: 5.89 kJ per mole of atoms
polymorph energy (0 for the lowest one): 152.4 meV/atom

=====

5.
Compound: TbEuPb
Source: the Alexandria database
Functional: PBE
Structure: relaxed

a = 3.491 Å, b = 3.491 Å, c = 17.971 Å
α = 90.00°, β = 90.00°, γ = 90.00°
Space group I4mm (No. 107)
Asymmetric unit:
Tb (0.000, 0.000, 0.000) x2
Eu (0.000, 0.000, 0.197) x2
Pb (0.000, 0.000, 0.378) x2

Results
formation energy: 10.37 kJ per mole of atoms

=====

6.
Compound: Ce2DyTh3Te6
Source: the Alexandria database
Functional: PBE
Structure: relaxed

a = 19.719 Å, b = 4.365 Å, c = 9.075 Å
α = 90.00°, β = 107.11°, γ = 90.00°
Space group C2/m (No. 12)
Asymmetric unit:
Ce (0.167, 0.000, 0.333) x4
Dy (0.000, 0.500, 0.000) x2
Th (0.000, 0.500, 0.500) x2
Th (0.169, 0.000, 0.832) x4
Te (0.000, 0.000, 0.241) x4
Te (0.162, 0.500, 0.081) x4
Te (0.167, 0.500, 0.579) x4

Results
uncorrected formation energy: -1173 meV/atom

=====

7.
Compound: La2HgN
Source: the Alexandria database
Functional: PBE
Structure: relaxed

a = 7.176 Å, b = 7.176 Å, c = 8.765 Å
α = 90.00°, β = 90.00°, γ = 90.00°
Space group I-42d (No. 122)
Asymmetric unit:
La (0.153, 0.250, 0.125) x8
Hg (0.000, 0.000, 0.500) x4
N (0.000, 0.000, 0.000) x4

Results
polymorph energy (0 for the lowest one): 22.8 meV/atom
uncorrected formation energy: -834 meV/atom

=====

8.
Compound: Ce3Nd3PuSe8
Source: the Alexandria database
Functional: PBE
Structure: relaxed

a = 8.3877 Å, b = 8.3877 Å, c = 20.7327 Å
α = 90.00°, β = 90.00°, γ = 120.00°
Space group R-3m (No. 166, hexagonal axes)
Asymmetric unit:
Ce (0.0000, 0.5000, 0.0000) x9
Nd (0.0000, 0.5000, 0.5000) x9
Pu (0.0000, 0.0000, 0.5000) x3
Se (0.0000, 0.0000, 0.2505) x6
Se (0.0016, 0.5008, 0.2504) x18

Results
uncorrected formation energy: -1799 meV/atom

=====

What did we get for volume? Answer: 30.45; 24.67; 16.12; 24.70; 36.50; 31.11; 28.21; 28.07 Å³ per atom, in the order shown.